[1]
This record from Alexandria describes crystalline KCdPb2 at its relaxed geometry. The functional is PBE.

Results
For the calculated formation energy, the calculation gives -0.1 eV/f.u. The calculation puts the total DFT energy (no corrections) at -9.562 eV for the cell shown. Its density of states at the Fermi level is 2.19 states/eV/cell.

Structure (POSCAR):
```
KCdPb2
1.0
2.5210 1.4555 6.7257
-2.5210 1.4555 6.7257
0.0000 -2.9111 6.7257
K Cd Pb
1 1 2
direct
0.0000 0.0000 0.0000
0.8167 0.8167 0.8167
0.2104 0.2104 0.2104
0.4425 0.4425 0.4425
```



[2]
This record from Alexandria describes crystalline ZnTcSe2 at its relaxed geometry. The functional is PBE.

Results
For the raw formation energy, the calculation gives -0.2434 eV per atom. As for the energy above the most stable polymorph in this dataset: 36.8 meV per atom. The calculation puts the total DFT energy (no corrections) at -39.165 eV for the cell shown. Its density of states at the Fermi level is 3.72 states/eV/cell.

Structure (POSCAR):
```
ZnTcSe2
1.0
7.0595 -1.8086 0.0000
7.0595 1.8086 0.0000
-4.2007 0.0000 6.9164
Zn Tc Se
2 2 4
direct
0.1730 0.1730 0.0158
0.8270 0.8270 0.9842
0.2463 0.2463 0.3719
0.7537 0.7537 0.6281
0.1365 0.1365 0.6902
0.3928 0.3928 0.7198
0.6072 0.6072 0.2802
0.8635 0.8635 0.3098
```



[3]
This record from Alexandria describes crystalline Mg2FeAg at its relaxed geometry. The functional is PBE.

Results
For the calculated formation energy, the calculation gives 0.8 eV/f.u. The calculation puts the total DFT energy (no corrections) at -13.718 eV for the cell shown. Its density of states at the Fermi level is 3.06 states/eV/cell.

Structure (POSCAR):
```
Mg2FeAg
1.0
4.6282 -1.4483 0.0000
4.6282 1.4483 0.0000
-0.8731 0.0000 5.1471
Mg Fe Ag
2 1 1
direct
0.2475 0.2475 0.2409
0.7525 0.7525 0.7591
0.5000 0.5000 0.0000
0.0000 0.0000 0.5000
```



[4]
This record from Alexandria describes crystalline AcTaMn2S8 at its relaxed geometry. The functional is PBE.

Results
For the raw formation energy, the calculation gives -0.6995 eV per atom. The calculation puts the total DFT energy (no corrections) at -75.714 eV for the cell shown. Its density of states at the Fermi level is 6.45 states/eV/cell.

Structure (POSCAR):
```
AcTaMn2S8
1.0
-4.4036 4.4036 3.7124
4.4036 -4.4036 3.7124
4.4036 4.4036 -3.7124
Ac Ta Mn S
1 1 2 8
direct
0.0000 0.0000 0.0000
0.7500 0.2500 0.5000
0.2500 0.7500 0.5000
0.5000 0.5000 0.0000
0.0276 0.3641 0.3365
0.0276 0.6910 0.6635
0.1222 0.3239 0.7982
0.3090 0.9724 0.3365
0.5257 0.3239 0.2018
0.6359 0.9724 0.6635
0.6761 0.4743 0.7982
0.6761 0.8778 0.2018
```



[5]
This record from Alexandria describes crystalline Y2Ga6Tc at its relaxed geometry. The functional is PBE.

Results
For the calculated formation energy, the calculation gives -4.2 eV/f.u. The calculation puts the total DFT energy (no corrections) at -45.680 eV for the cell shown. Its density of states at the Fermi level is 4.84 states/eV/cell.

Structure (POSCAR):
```
Y2Ga6Tc
1.0
5.8132 0.0000 0.0000
-2.9066 5.0344 0.0000
0.0000 0.0000 5.7757
Y Ga Tc
2 6 1
direct
0.3333 0.6667 0.1574
0.6667 0.3333 0.8426
0.1750 0.3501 0.6782
0.1750 0.8250 0.6782
0.3501 0.1750 0.3218
0.6499 0.8250 0.6782
0.8250 0.1750 0.3218
0.8250 0.6499 0.3218
0.0000 0.0000 0.0000
```



[6]
This record from Alexandria describes crystalline SmErBeCu at its relaxed geometry. The functional is PBE.

Results
For the calculated formation energy, the calculation gives -0.2 eV/f.u. The calculation puts the total DFT energy (no corrections) at -17.257 eV for the cell shown. Its density of states at the Fermi level is 1.61 states/eV/cell.

Structure (POSCAR):
```
SmErBeCu
1.0
0.0000 3.4679 3.4679
3.4679 0.0000 3.4679
3.4679 3.4679 0.0000
Sm Er Be Cu
1 1 1 1
direct
0.0000 0.0000 0.0000
0.5000 0.5000 0.5000
0.7500 0.7500 0.7500
0.2500 0.2500 0.2500
```



[7]
This record from Alexandria describes crystalline KTaBe2 at its relaxed geometry. The functional is PBE.

Results
For the calculated formation energy, the calculation gives 6.2 eV/f.u. As for the energy above the most stable polymorph in this dataset: 878.7 meV per atom. The calculation puts the total DFT energy (no corrections) at -14.230 eV for the cell shown. Its density of states at the Fermi level is 2.80 states/eV/cell.

Structure (POSCAR):
```
KTaBe2
1.0
-1.8979 1.8979 4.7756
1.8979 -1.8979 4.7756
1.8979 1.8979 -4.7756
K Ta Be
1 1 2
direct
0.0000 0.0000 0.0000
0.2500 0.7500 0.5000
0.5000 0.5000 0.0000
0.7500 0.2500 0.5000
```



[8]
This record from Alexandria describes crystalline NaTlNiRu2 at its relaxed geometry. The functional is PBE.

Results
For the calculated formation energy, the calculation gives 9.3 eV/f.u. The calculation puts the total DFT energy (no corrections) at -18.721 eV for the cell shown. Its density of states at the Fermi level is 8.01 states/eV/cell.

Structure (POSCAR):
```
NaTlNiRu2
1.0
4.6635 0.0000 0.0000
0.0000 4.6635 0.0000
0.0000 0.0000 4.3538
Na Tl Ni Ru
1 1 1 2
direct
0.0000 0.0000 0.0000
0.5000 0.5000 0.5000
0.0000 0.0000 0.5000
0.0000 0.5000 0.0000
0.5000 0.0000 0.0000
```



[9]
This record from Alexandria describes crystalline PmTaMnSi2 at its relaxed geometry. The functional is PBE.

Results
For the raw formation energy, the calculation gives -0.5276 eV per atom. The calculation puts the total DFT energy (no corrections) at -39.257 eV for the cell shown. Its density of states at the Fermi level is 3.08 states/eV/cell.

Structure (POSCAR):
```
PmTaMnSi2
1.0
-1.9900 1.9900 5.6476
1.9900 -1.9900 5.6476
1.9900 1.9900 -5.6476
Pm Ta Mn Si
1 1 1 2
direct
0.0000 0.0000 0.0000
0.2500 0.7500 0.5000
0.7500 0.2500 0.5000
0.3906 0.3906 0.0000
0.6094 0.6094 0.0000
```



[10]
This record from Alexandria describes crystalline CeZnNiPt at its relaxed geometry. The functional is PBE.

Results
For the calculated formation energy, the calculation gives -2.1 eV/f.u. The calculation puts the total DFT energy (no corrections) at -21.087 eV for the cell shown. Its density of states at the Fermi level is 3.44 states/eV/cell.

Structure (POSCAR):
```
CeZnNiPt
1.0
0.0000 3.2994 3.2994
3.2994 0.0000 3.2994
3.2994 3.2994 0.0000
Ce Zn Ni Pt
1 1 1 1
direct
0.0000 0.0000 0.0000
0.5000 0.5000 0.5000
0.7500 0.7500 0.7500
0.2500 0.2500 0.2500
```



[11]
This record from Alexandria describes crystalline K2SrRhF6 at its relaxed geometry. The functional is PBE.

Results
For the raw formation energy, the calculation gives -2.5635 eV per atom. The calculation puts the total DFT energy (no corrections) at -96.183 eV for the cell shown. Its density of states at the Fermi level is 0.06 states/eV/cell.

Structure (POSCAR):
```
K2SrRhF6
1.0
6.3049 0.0000 0.0000
0.0000 8.7178 0.0000
0.0000 0.0000 6.7603
K Sr Rh F
4 2 2 12
direct
0.2500 0.0323 0.1876
0.2500 0.4677 0.1876
0.7500 0.5323 0.8124
0.7500 0.9677 0.8124
0.2500 0.2500 0.7024
0.7500 0.7500 0.2976
0.2500 0.7500 0.7876
0.7500 0.2500 0.2124
0.0054 0.7500 0.0328
0.0145 0.2500 0.4302
0.2500 0.5168 0.7874
0.2500 0.9832 0.7874
0.4855 0.2500 0.4302
0.4946 0.7500 0.0328
0.5054 0.2500 0.9672
0.5145 0.7500 0.5698
0.7500 0.0168 0.2126
0.7500 0.4832 0.2126
0.9855 0.7500 0.5698
0.9946 0.2500 0.9672
```



[12]
This record from Alexandria describes crystalline Sm4Ga3Co at its relaxed geometry. The functional is PBE.

Results
For the calculated formation energy, the calculation gives -3.7 eV/f.u. The calculation puts the total DFT energy (no corrections) at -38.725 eV for the cell shown. Its density of states at the Fermi level is 7.59 states/eV/cell.

Structure (POSCAR):
```
Sm4Ga3Co
1.0
4.2411 0.0000 0.0000
0.0000 4.2677 0.0000
0.0000 0.0000 10.6913
Sm Ga Co
4 3 1
direct
0.0000 0.0000 0.0000
0.0000 0.5000 0.4682
0.5000 0.0000 0.6943
0.5000 0.5000 0.1998
0.0000 0.5000 0.7670
0.5000 0.0000 0.4010
0.5000 0.5000 0.9145
0.0000 0.0000 0.2751
```



[13]
This record from Alexandria describes crystalline PrErBiAs at its relaxed geometry. The functional is PBE.

Results
For the calculated formation energy, the calculation gives -4.7 eV/f.u. The calculation puts the total DFT energy (no corrections) at -22.537 eV for the cell shown. Its density of states at the Fermi level is 0.76 states/eV/cell.

Structure (POSCAR):
```
PrErBiAs
1.0
2.1693 1.2525 7.2247
-2.1693 1.2525 7.2247
0.0000 -2.5049 7.2247
Pr Er Bi As
1 1 1 1
direct
0.0000 0.0000 0.0000
0.5154 0.5154 0.5154
0.7621 0.7621 0.7621
0.2533 0.2533 0.2533
```